Record 1
Here is a relaxed structure of Dy5TcNi from Alexandria via LeMat-Bulk. Energies are from PBE.

Properties
Energy of formation = -0.063 eV/atom
Space group = C2/c (15)
Calculated total energy = -39.60 eV per formula unit

Lattice parameters (Å, degrees): 8.280 8.280 6.380 101.20 101.20 111.04
Positions (direct):
1 Dy 0.146 0.311 0.860
2 Dy 0.147 0.853 0.750
3 Dy 0.242 0.547 0.438
4 Dy 0.311 0.146 0.360
5 Dy 0.453 0.758 0.062
6 Dy 0.547 0.242 0.938
7 Dy 0.689 0.854 0.640
8 Dy 0.758 0.453 0.562
9 Dy 0.853 0.147 0.250
10 Dy 0.854 0.689 0.140
11 Tc 0.499 0.501 0.250
12 Tc 0.501 0.499 0.750
13 Ni 0.000 0.000 0.000
14 Ni 0.000 0.000 0.500


Record 2
Here is a relaxed structure of TlSbTe2 from Alexandria via LeMat-Bulk. Energies are from PBE.

Properties
Space group = Cmmm (65)
Calculated total energy = -12.64 eV per formula unit
Distance to the lowest polymorph of the same formula = 1.05 eV per formula unit
Formation energy without anion corrections = 0.03 eV per atom

Lattice parameters (Å, degrees): 3.875 3.875 8.234 90.00 90.00 90.11
Positions (direct):
1 Tl 0.000 0.000 0.000
2 Sb 0.000 0.000 0.500
3 Te 0.500 0.500 0.279
4 Te 0.500 0.500 0.721


Record 3
Here is a relaxed structure of Pr2Nd5Y12 from Alexandria via LeMat-Bulk. Energies are from PBE.

Properties
Energy of formation = 0.109 eV/atom
Space group = C2/m (12)
Calculated total energy = -108.89 eV per formula unit
Distance to the lowest polymorph of the same formula = 0.00 eV per formula unit

Lattice parameters (Å, degrees): 7.156 7.156 15.127 104.56 104.56 60.60
Positions (direct):
1 Pr 0.250 0.750 0.000
2 Pr 0.750 0.250 0.000
3 Nd 0.000 0.000 0.500
4 Nd 0.251 0.251 0.000
5 Nd 0.404 0.404 0.406
6 Nd 0.596 0.596 0.594
7 Nd 0.749 0.749 0.000
8 Y 0.091 0.567 0.609
9 Y 0.154 0.664 0.214
10 Y 0.156 0.156 0.197
11 Y 0.336 0.846 0.786
12 Y 0.350 0.350 0.808
13 Y 0.433 0.909 0.391
14 Y 0.567 0.091 0.609
15 Y 0.650 0.650 0.192
16 Y 0.664 0.154 0.214
17 Y 0.844 0.844 0.803
18 Y 0.846 0.336 0.786
19 Y 0.909 0.433 0.391


Record 4
Here is a relaxed structure of ZrRe2P from Alexandria via LeMat-Bulk. Energies are from PBE.

Properties
Energy of formation = -0.085 eV/atom
Space group = Pmm2 (25)
Calculated total energy = -39.19 eV per formula unit

Lattice parameters (Å, degrees): 2.950 4.057 5.368 90.00 90.00 90.00
Positions (direct):
1 Zr 0.000 0.000 0.000
2 Re 0.000 0.000 0.495
3 Re 0.500 0.500 0.687
4 P 0.500 0.500 0.244


Record 5
Here is a relaxed structure of Sm2Y4HoTm2 from Alexandria via LeMat-Bulk. Energies are from PBE.

Properties
Energy of formation = 0.010 eV/atom
Space group = C2/m (12)
Calculated total energy = -48.72 eV per formula unit

Lattice parameters (Å, degrees): 9.503 9.503 9.544 115.29 115.29 21.81
Positions (direct):
1 Sm 0.149 0.149 0.168
2 Sm 0.851 0.851 0.832
3 Y 0.185 0.185 0.831
4 Y 0.482 0.482 0.168
5 Y 0.518 0.518 0.832
6 Y 0.815 0.815 0.169
7 Ho 0.000 0.000 0.500
8 Tm 0.333 0.333 0.500
9 Tm 0.667 0.667 0.500


Record 6
Here is a relaxed structure of Na5BiCl8 from Alexandria via LeMat-Bulk. Energies are from PBE.

Properties
Space group = I-4 (82)
Calculated total energy = -46.63 eV per formula unit
Formation energy without anion corrections = -1.53 eV per atom

Lattice parameters (Å, degrees): 7.622 7.622 7.622 107.41 107.41 113.67
Positions (direct):
1 Na 0.000 0.000 0.000
2 Na 0.099 0.529 0.912
3 Na 0.471 0.382 0.570
4 Na 0.618 0.188 0.088
5 Na 0.812 0.901 0.430
6 Bi 0.250 0.750 0.500
7 Cl 0.286 0.128 0.741
8 Cl 0.358 0.003 0.260
9 Cl 0.387 0.545 0.259
10 Cl 0.455 0.714 0.842
11 Cl 0.743 0.098 0.740
12 Cl 0.872 0.613 0.158
13 Cl 0.902 0.642 0.645
14 Cl 0.997 0.257 0.355


Q: calculated total energy of number 4 (ZrRe2P)?
A: -39.19 eV per formula unit


Q: Which of these has the highest calculated total energy?
A: TlSbTe2